Computed, not measured: a relaxed structure of Li2Ru2W at the PBE level of DFT.

```
Li2Ru2W
1.0
-1.435 -0.594 2.719
1.185 -2.899 -0.008
5.728 0.635 4.964
Ru Li W
2 2 1
direct
0.599 0.599 0.802
0.401 0.401 0.198
0.750 0.250 0.500
0.250 0.750 0.500
0.000 0.000 0.000
```

- M_tot: 0.000 μB/atom
- Calculated formation energy: 0.3473 eV per atom
- Energy above the lowest structure with this stoichiometry: 0.0 meV per atom
- Symmetry: I4/mmm (139)
- D(E_F): 0.61 states/eV/atom